Entry 1:
A plane-wave DFT calculation with PBE was carried out for Sc2Cd2Sn after structural relaxation.

The structure belongs to space group I4/mmm (No. 139); the cell edges are 4.531, 4.531 and 12.648 Å and the angles 90.00°, 90.00° and 90.00°. The inequivalent atoms are Sc at (0.000, 0.500, 0.250), Cd at (0.000, 0.000, 0.104) and Sn at (0.000, 0.000, 0.500).

The calculation puts the calculated total energy at -3.596 eV per atom. The calculation puts the formation energy at 49.8 kJ/mol of formula units.

---

Entry 2:
A plane-wave DFT calculation with PBE was carried out for Tl2ReCl5F after structural relaxation.

The structure belongs to space group I4mm (No. 107); the cell edges are 7.135, 7.135 and 9.797 Å and the angles 90.00°, 90.00° and 90.00°. The inequivalent atoms are Tl at (0.000, 0.500, 0.000), Re at (0.000, 0.000, 0.254), Cl at (0.000, 0.000, 0.013), Cl at (0.235, 0.235, 0.257) and F at (0.000, 0.000, 0.456).

The calculation puts the calculated total energy at -4.183 eV per atom. The value obtained for the energy relative to the elements, uncorrected is -1040 meV per atom.

---

Entry 3:
A plane-wave DFT calculation with PBE was carried out for Nd2Al3Hg after structural relaxation.

The structure belongs to space group Fmmm (No. 69); the cell edges are 7.669, 9.290 and 16.070 Å and the angles 90.00°, 90.00° and 90.00°. The inequivalent atoms are Nd at (0.248, 0.000, 0.000), Nd at (0.250, 0.250, 0.250), Al at (0.000, 0.000, 0.336), Al at (0.000, 0.246, 0.418) and Hg at (0.000, 0.000, 0.167).

The calculation puts the calculated total energy at -3.975 eV per atom. The calculation puts the energy above the most stable polymorph in this dataset at 8.5 meV/atom. The calculation puts the formation energy at -268.9 kJ/mol of formula units.

---

Entry 4:
A plane-wave DFT calculation with PBE was carried out for NaScSn3 after structural relaxation.

The structure belongs to space group Pm-3m (No. 221); the cell edges are 5.540, 5.540 and 5.540 Å and the angles 90.00°, 90.00° and 90.00°. The inequivalent atoms are Na at (0.000, 0.000, 0.000), Sc at (0.500, 0.500, 0.500) and Sn at (0.000, 0.500, 0.500).

The calculation puts the calculated total energy at -3.858 eV per atom. The calculation puts the energy above the most stable polymorph in this dataset at 0.0 meV/atom. The calculation puts the formation energy at 35.6 kJ/mol of formula units.